DFT (PBE) results for LaBiTe2O after structural relaxation.

Size of the total moment in μB per cell: 0.00
Energy relative to the lowest polymorph listed for this composition in eV per formula unit: 11.31
Crystal system: tetragonal
DFT total energy in eV per atom: -3.31
Formation energy without anion corrections in eV per atom: 0.700

Cell: 6.038 6.038 6.473 Å, 90.00 90.00 90.00°
Positions (direct):
Te (0.000, 0.500, 0.000)
Te (0.500, 0.000, 0.000)
Bi (0.000, 0.000, 0.500)
O (0.500, 0.500, 0.500)
La (0.000, 0.000, 0.000)

=====

DFT (PBE) results for La2BiTeO8 after structural relaxation.

Size of the total moment in μB per cell: 0.00
Crystal system: monoclinic
DFT total energy in eV per atom: -6.72
Formation energy without anion corrections in eV per atom: -2.007

Cell: 5.251 5.254 7.046 Å, 89.98 89.98 92.34°
Positions (direct):
La (0.499, 0.499, 0.758)
La (0.501, 0.501, 0.242)
Bi (0.000, 0.000, 0.500)
Te (0.000, 0.000, 0.000)
O (0.174, 0.824, 0.213)
O (0.734, 0.734, 0.999)
O (0.824, 0.174, 0.213)
O (0.826, 0.176, 0.787)
O (0.266, 0.266, 0.001)
O (0.176, 0.826, 0.787)
O (0.701, 0.701, 0.501)
O (0.299, 0.299, 0.499)

=====

DFT (PBE) results for La2TiBiO6 after structural relaxation.

Size of the total moment in μB per cell: 0.86
Crystal system: tetragonal
DFT total energy in eV per atom: -7.75
Formation energy without anion corrections in eV per atom: -2.608

Cell: 5.492 5.540 5.540 Å, 90.00 90.00 90.00°
Positions (direct):
La (0.987, 0.500, 0.000)
La (0.987, 0.000, 0.500)
Ti (0.606, 0.000, 0.000)
Bi (0.512, 0.500, 0.500)
O (0.743, 0.230, 0.230)
O (0.743, 0.230, 0.770)
O (0.110, 0.500, 0.500)
O (0.275, 0.000, 0.000)
O (0.743, 0.770, 0.770)
O (0.743, 0.770, 0.230)

=====

DFT (PBE) results for LaTi3Bi3O12 after structural relaxation.

Size of the total moment in μB per cell: 0.00
Crystal system: monoclinic
DFT total energy in eV per atom: -7.68
Formation energy without anion corrections in eV per atom: -2.432

Cell: 5.453 5.485 17.021 Å, 81.07 90.00 90.00°
Positions (direct):
La (0.253, 0.781, 0.883)
La (0.747, 0.281, 0.883)
Ti (0.751, 0.581, 0.267)
Ti (0.249, 0.081, 0.267)
Ti (0.753, 0.701, 0.012)
Ti (0.247, 0.201, 0.012)
Ti (0.751, 0.841, 0.758)
Ti (0.249, 0.341, 0.758)
Bi (0.773, 0.346, 0.589)
Bi (0.227, 0.846, 0.589)
Bi (0.247, 0.595, 0.144)
Bi (0.753, 0.095, 0.144)
Bi (0.727, 0.921, 0.435)
Bi (0.273, 0.421, 0.435)
O (0.456, 0.923, 0.029)
O (0.544, 0.423, 0.029)
O (0.492, 0.594, 0.773)
O (0.508, 0.094, 0.773)
O (0.996, 0.575, 0.793)
O (0.004, 0.075, 0.793)
O (0.491, 0.657, 0.513)
O (0.509, 0.157, 0.513)
O (0.807, 0.901, 0.653)
O (0.193, 0.401, 0.653)
O (0.826, 0.689, 0.130)
O (0.174, 0.189, 0.130)
O (0.992, 0.657, 0.511)
O (0.008, 0.157, 0.511)
O (0.695, 0.773, 0.900)
O (0.305, 0.273, 0.900)
O (0.468, 0.838, 0.231)
O (0.532, 0.338, 0.231)
O (0.955, 0.026, 0.997)
O (0.045, 0.526, 0.997)
O (0.948, 0.903, 0.260)
O (0.052, 0.403, 0.260)
O (0.686, 0.537, 0.371)
O (0.314, 0.037, 0.371)

=====

DFT (PBE) results for La4TlBiO after structural relaxation.

Size of the total moment in μB per cell: 1.73
Crystal system: orthorhombic
DFT total energy in eV per atom: -5.65
Formation energy without anion corrections in eV per atom: -1.237

Cell: 6.834 6.772 9.810 Å, 90.00 110.38 90.00°
Positions (direct):
La (0.935, 0.250, 0.870)
La (0.420, 0.750, 0.839)
La (0.065, 0.750, 0.130)
La (0.580, 0.250, 0.161)
La (0.500, 0.500, 0.500)
La (0.000, 0.000, 0.500)
La (0.500, 0.000, 0.500)
La (0.000, 0.500, 0.500)
Tl (0.112, 0.250, 0.225)
Tl (0.888, 0.750, 0.775)
Bi (0.611, 0.750, 0.222)
Bi (0.389, 0.250, 0.778)
O (0.294, 0.750, 0.588)
O (0.706, 0.250, 0.412)

=====

DFT (PBE) results for LaTlBi2O6 after structural relaxation.

Size of the total moment in μB per cell: 0.00
Crystal system: trigonal
DFT total energy in eV per atom: -6.09
Formation energy without anion corrections in eV per atom: -1.610

Cell: 6.150 6.152 6.253 Å, 60.52 60.54 59.97°
Positions (direct):
La (0.800, 0.801, 0.598)
Tl (0.305, 0.305, 0.086)
Bi (0.519, 0.520, 0.442)
Bi (0.021, 0.021, 0.936)
O (0.626, 0.187, 0.242)
O (0.187, 0.945, 0.242)
O (0.946, 0.626, 0.242)
O (0.423, 0.691, 0.742)
O (0.692, 0.143, 0.742)
O (0.144, 0.423, 0.742)